Version P
# HfZr2Cl

An optimized crystal structure of HfZr2Cl (PBE-GGA, Alexandria).

The space group is Fm-3m (No. 225) and the conventional cell measures 7.011, 7.011 and 7.011 Å, with angles of 90.00, 90.00 and 90.00 degrees. The distinct sites, in fractional coordinates, are Hf at (0.000, 0.000, 0.000), Zr at (0.250, 0.250, 0.250) and Cl at (0.000, 0.000, 0.500).

As for the magnetization: 0.0 μB per formula unit.

Version Q
# HfZr2Cl

An optimized crystal structure of HfZr2Cl (PBE-GGA, Alexandria).

The space group is I-42d (No. 122) and the conventional cell measures 4.101, 4.101 and 20.996 Å, with angles of 90.00, 90.00 and 90.00 degrees. The distinct sites, in fractional coordinates, are Hf at (0.000, 0.000, 0.000), Zr at (0.246, 0.250, 0.625) and Cl at (0.000, 0.000, 0.500).

As for the magnetization: 0.0 μB per formula unit.

So which one is most stable? That would be version Q, about 8.0 kJ/mol of atoms below the next structure.